Computed, not measured: Tl2OsAu after structural relaxation at the GGA-PBE level of DFT.

Calculated values
Spin magnetization: 0.076 μB/atom
Formation energy from the elements: 0.7990 eV/atom
Space group: I-4m2

Lattice parameters (Å, degrees): 5.641 5.641 5.641 137.78 137.78 61.24
Element x y z (fractional)
Au1 0.500 0.500 0.000
Os1 0.750 0.250 0.500
Tl1 0.000 0.000 0.000
Tl2 0.250 0.750 0.500


Computed, not measured: CdHgTe2 after structural relaxation at the GGA-PBE level of DFT.

Calculated values
Spin magnetization: 0.000 μB/atom
Formation energy from raw total energies: 0.1562 eV per atom
Space group: Fm-3m

Lattice parameters (Å, degrees): 5.361 5.361 5.361 60.00 60.00 60.00
Element x y z (fractional)
Hg1 0.500 0.500 0.500
Te1 0.250 0.250 0.250
Te2 0.750 0.750 0.750
Cd1 0.000 0.000 0.000


Computed, not measured: CsAc6Se8 after structural relaxation at the GGA-PBE level of DFT.

Calculated values
Spin magnetization: 0.051 μB/atom
Formation energy from raw total energies: -1.7628 eV per atom
Space group: P-3

Lattice parameters (Å, degrees): 4.582 12.067 12.067 120.00 90.00 90.00
Element x y z (fractional)
Se1 0.747 0.667 0.333
Se2 0.253 0.682 0.639
Se3 0.747 0.639 0.957
Se4 0.253 0.333 0.667
Se5 0.747 0.318 0.361
Se6 0.253 0.361 0.043
Se7 0.253 0.957 0.318
Se8 0.747 0.043 0.682
Ac1 0.752 0.523 0.664
Ac2 0.248 0.477 0.336
Ac3 0.248 0.859 0.523
Ac4 0.752 0.141 0.477
Ac5 0.248 0.664 0.141
Ac6 0.752 0.336 0.859
Cs1 0.500 0.000 0.000


Computed, not measured: Ti4GaS after structural relaxation at the GGA-PBE level of DFT.

Calculated values
Spin magnetization: 0.000 μB/atom
Formation energy from raw total energies: -0.5322 eV per atom
Space group: C2/c

Lattice parameters (Å, degrees): 5.775 5.377 7.100 101.72 114.01 90.01
Element x y z (fractional)
Ga1 0.996 0.250 0.000
Ga2 0.004 0.750 0.000
Ti1 0.701 0.409 0.647
Ti2 0.707 0.554 0.176
Ti3 0.299 0.591 0.353
Ti4 0.469 0.054 0.176
Ti5 0.946 0.909 0.647
Ti6 0.531 0.946 0.824
Ti7 0.054 0.091 0.353
Ti8 0.293 0.446 0.824
S1 0.500 0.000 0.500
S2 0.000 0.500 0.500